1.
First-principles (PBE-GGA) data for a relaxed LiIn2As crystal, as listed in the Alexandria database.

Unit cell a=8.857 b=8.857 c=5.210 alpha=90.00 beta=90.00 gamma=90.00
Space group I-42d (No. 122)
Inequivalent atoms, fractional coordinates:
1 Li 0.000 0.000 0.000 x4
2 In 0.179 0.750 0.625 x8
3 As 0.000 0.000 0.500 x4

## Properties
* formation energy: -0.22 eV/atom
* M_tot: 0.0 μB per cell

***

2.
First-principles (PBE-GGA) data for a relaxed LiIn2As crystal, as listed in the Alexandria database.

Unit cell a=7.185 b=7.185 c=7.185 alpha=90.00 beta=90.00 gamma=90.00
Space group F-43m (No. 216)
Inequivalent atoms, fractional coordinates:
1 Li 0.000 0.000 0.000 x4
2 In 0.000 0.000 0.500 x4
3 In 0.250 0.250 0.750 x4
4 As 0.250 0.250 0.250 x4

## Properties
* formation energy: -0.08 eV/atom
* M_tot: 0.0 μB per cell

***

3.
First-principles (PBE-GGA) data for a relaxed Li3InAs crystal, as listed in the Alexandria database.

Unit cell a=4.933 b=4.933 c=4.933 alpha=90.00 beta=90.00 gamma=90.00
Space group Pm-3m (No. 221)
Inequivalent atoms, fractional coordinates:
1 Li 0.000 0.000 0.500 x3
2 In 0.000 0.000 0.000 x1
3 As 0.500 0.500 0.500 x1

## Properties
* formation energy: 0.34 eV/atom
* M_tot: 0.0 μB per cell

***

4.
First-principles (PBE-GGA) data for a relaxed LiInAs4 crystal, as listed in the Alexandria database.

Unit cell a=8.078 b=8.078 c=8.078 alpha=90.00 beta=90.00 gamma=90.00
Space group F-43m (No. 216)
Inequivalent atoms, fractional coordinates:
1 Li 0.000 0.000 0.000 x4
2 In 0.250 0.250 0.250 x4
3 As 0.124 0.124 0.624 x16

## Properties
* formation energy: 0.06 eV/atom
* M_tot: 0.0 μB per cell

***

5.
First-principles (PBE-GGA) data for a relaxed LiIn2As crystal, as listed in the Alexandria database.

Unit cell a=3.206 b=4.204 c=6.933 alpha=90.00 beta=102.89 gamma=90.00
Space group Pm (No. 6)
Inequivalent atoms, fractional coordinates:
1 Li 0.000 0.000 0.000 x1
2 In 0.346 0.500 0.686 x1
3 In 0.702 0.000 0.411 x1
4 As 0.548 0.500 0.099 x1

## Properties
* formation energy: -0.17 eV/atom
* M_tot: 0.0 μB per cell

***

6.
First-principles (PBE-GGA) data for a relaxed LiIn2As crystal, as listed in the Alexandria database.

Unit cell a=4.368 b=4.368 c=9.334 alpha=90.00 beta=90.00 gamma=90.00
Space group I4/mmm (No. 139)
Inequivalent atoms, fractional coordinates:
1 Li 0.000 0.000 0.000 x2
2 In 0.000 0.500 0.250 x4
3 As 0.000 0.000 0.500 x2

## Properties
* formation energy: -0.11 eV/atom
* M_tot: 0.0 μB per cell

***

7.
First-principles (PBE-GGA) data for a relaxed LiIn2As crystal, as listed in the Alexandria database.

Unit cell a=6.051 b=9.329 c=3.146 alpha=90.00 beta=90.00 gamma=90.00
Space group Cmmm (No. 65)
Inequivalent atoms, fractional coordinates:
1 Li 0.000 0.000 0.000 x2
2 In 0.250 0.250 0.500 x4
3 As 0.000 0.500 0.000 x2

## Properties
* formation energy: -0.08 eV/atom
* M_tot: 0.0 μB per cell

***

8.
First-principles (PBE-GGA) data for a relaxed LiIn3As crystal, as listed in the Alexandria database.

Unit cell a=5.008 b=5.008 c=5.008 alpha=90.00 beta=90.00 gamma=90.00
Space group Pm-3m (No. 221)
Inequivalent atoms, fractional coordinates:
1 Li 0.000 0.000 0.000 x1
2 In 0.000 0.000 0.500 x3
3 As 0.500 0.500 0.500 x1

## Properties
* formation energy: 0.30 eV/atom
* M_tot: 0.0 μB per cell

***

9.
First-principles (PBE-GGA) data for a relaxed LiIn2As crystal, as listed in the Alexandria database.

Unit cell a=3.7092 b=3.7092 c=24.6158 alpha=90.00 beta=90.00 gamma=120.00
Space group R-3m (No. 166, hexagonal axes)
Inequivalent atoms, fractional coordinates:
1 Li 0.0000 0.0000 0.0000 x3
2 In 0.0000 0.0000 0.2432 x6
3 As 0.0000 0.0000 0.5000 x3

## Properties
* formation energy: -0.08 eV/atom
* M_tot: 0.0 μB per cell

***

10.
First-principles (PBE-GGA) data for a relaxed LiIn2As2 crystal, as listed in the Alexandria database.

Unit cell a=5.178 b=5.178 c=9.722 alpha=90.00 beta=90.00 gamma=90.00
Space group I4/mmm (No. 139)
Inequivalent atoms, fractional coordinates:
1 Li 0.000 0.000 0.000 x2
2 In 0.000 0.000 0.355 x4
3 As 0.000 0.500 0.250 x4

## Properties
* formation energy: -0.02 eV/atom
* M_tot: 0.0 μB per cell

***

11.
First-principles (PBE-GGA) data for a relaxed LiMgIn2As crystal, as listed in the Alexandria database.

Unit cell a=4.865 b=4.865 c=5.077 alpha=90.00 beta=90.00 gamma=90.00
Space group P4/mmm (No. 123)
Inequivalent atoms, fractional coordinates:
1 Li 0.000 0.000 0.000 x1
2 Mg 0.000 0.000 0.500 x1
3 In 0.000 0.500 0.000 x2
4 As 0.500 0.500 0.500 x1

## Properties
* formation energy: 0.31 eV/atom
* M_tot: 0.0 μB per cell

***

12.
First-principles (PBE-GGA) data for a relaxed Li2InAsN crystal, as listed in the Alexandria database.

Unit cell a=5.552 b=5.552 c=5.038 alpha=90.00 beta=90.00 gamma=90.00
Space group P4/mmm (No. 123)
Inequivalent atoms, fractional coordinates:
1 Li 0.000 0.500 0.000 x2
2 In 0.000 0.000 0.000 x1
3 As 0.000 0.000 0.500 x1
4 N 0.500 0.500 0.500 x1

## Properties
* raw formation energy: 1.16 eV per atom
* M_tot: 2.8 μB per cell

***

13.
First-principles (PBE-GGA) data for a relaxed Na2LiInAs2 crystal, as listed in the Alexandria database.

Unit cell a=5.998 b=14.388 c=6.501 alpha=90.00 beta=90.00 gamma=90.00
Space group Ibam (No. 72)
Inequivalent atoms, fractional coordinates:
1 Na 0.244 0.179 0.000 x8
2 Li 0.000 0.000 0.250 x4
3 In 0.000 0.500 0.250 x4
4 As 0.250 0.112 0.500 x8

## Properties
* formation energy: -0.50 eV/atom
* M_tot: 0.0 μB per cell

***

14.
First-principles (PBE-GGA) data for a relaxed NaLiInAs crystal, as listed in the Alexandria database.

Unit cell a=6.990 b=6.990 c=6.990 alpha=90.00 beta=90.00 gamma=90.00
Space group F-43m (No. 216)
Inequivalent atoms, fractional coordinates:
1 Na 0.000 0.000 0.000 x4
2 Li 0.000 0.000 0.500 x4
3 In 0.250 0.250 0.250 x4
4 As 0.250 0.250 0.750 x4

## Properties
* formation energy: -0.27 eV/atom
* M_tot: 0.0 μB per cell